[1]
This record from Alexandria describes a geometry-optimized CdCo2Os structure. The functional is PBE.

Lattice parameters (Å, degrees): 8.879 8.879 8.879 17.66 17.66 17.66
Atoms (fractional coordinates):
Cd1 0.750 0.750 0.750
Co1 0.994 0.994 0.994
Co2 0.506 0.506 0.506
Os1 0.250 0.250 0.250

Properties
As for the total magnetic moment: 2.91 μB per formula unit. The symmetry is R-3m (166). As for the formation enthalpy at 0 K: 0.31 eV per atom.



[2]
This record from Alexandria describes a geometry-optimized CdCo2Os structure. The functional is PBE.

Lattice parameters (Å, degrees): 2.691 3.522 5.977 90.00 90.00 90.00
Atoms (fractional coordinates):
Cd1 0.500 0.500 0.766
Co1 0.000 0.000 0.038
Co2 0.500 0.500 0.255
Os1 0.000 0.000 0.441

Properties
As for the total magnetic moment: 1.25 μB per formula unit. The symmetry is Pmm2 (25). As for the formation enthalpy at 0 K: 0.43 eV per atom.



[3]
This record from Alexandria describes a geometry-optimized CdCo2Os structure. The functional is PBE.

Lattice parameters (Å, degrees): 2.713 2.713 7.430 90.00 90.00 90.00
Atoms (fractional coordinates):
Cd1 0.500 0.500 0.750
Co1 0.000 0.000 0.028
Co2 0.000 0.000 0.472
Os1 0.500 0.500 0.250

Properties
As for the total magnetic moment: 0.00 μB per formula unit. The symmetry is P4/mmm (123). As for the formation enthalpy at 0 K: 0.21 eV per atom.